VASP calculation (PBE) on a relaxed Ag7PbCl12 crystal.

extended XYZ file:
```
20
Lattice="-4.941 4.941 4.941 4.941 -4.941 4.941 4.941 4.941 -4.941" Properties=species:S:1:pos:R:3 pbc="T T T"
Ag 2.470 2.470 -2.470
Ag 2.470 -2.470 2.470
Ag 4.941 0.000 0.000
Ag -2.470 2.470 2.470
Ag 0.000 4.941 0.000
Ag 0.000 0.000 4.941
Ag 2.470 2.470 2.470
Pb 0.000 0.000 0.000
Cl 4.941 -1.992 3.236
Cl 2.948 1.704 0.000
Cl 6.933 1.704 0.000
Cl 3.236 4.941 -1.992
Cl 1.704 0.000 2.948
Cl 0.000 2.948 1.704
Cl 4.941 1.992 3.236
Cl 3.236 4.941 1.992
Cl 1.704 0.000 6.933
Cl -1.992 3.236 4.941
Cl 1.992 3.236 4.941
Cl 0.000 6.933 1.704
```

- mass density (g cm⁻³) = 4.8
- ΔE_f (raw) (eV/atom) = -0.47
- magnetization (Bohr magnetons per cell) = 0.0